[1]
The following is a PBE calculation of a geometry-optimized AlOsSe2 structure, from Alexandria.

Lattice parameters (Å, degrees): 5.601 5.601 6.930 66.17 66.17 90.00
Element x y z (fractional)
Os 0.000 0.000 0.000
Os 0.750 0.250 0.500
Al 0.500 0.500 0.000
Al 0.250 0.750 0.500
Se 0.633 0.125 0.250
Se 0.117 0.625 0.250
Se 0.375 0.367 0.750
Se 0.875 0.883 0.750

Crystal system: tetragonal
M_tot, μB per formula unit: 0.00
Calculated density, kg/m3: 6983
Raw formation energy, kJ/mol of formula units: 72.5

=====

[2]
The following is a PBE calculation of a geometry-optimized AlOsSe2 structure, from Alexandria.

Lattice parameters (Å, degrees): 9.010 9.010 9.010 20.00 20.00 20.00
Element x y z (fractional)
Os 0.250 0.250 0.250
Al 0.750 0.750 0.750
Se 0.986 0.986 0.986
Se 0.514 0.514 0.514

Crystal system: trigonal
M_tot, μB per formula unit: 0.00
Calculated density, kg/m3: 8327
Raw formation energy, kJ/mol of formula units: 135.4

=====

[3]
The following is a PBE calculation of a geometry-optimized AlOsSe2 structure, from Alexandria.

Lattice parameters (Å, degrees): 3.452 6.472 5.192 37.91 90.00 90.00
Element x y z (fractional)
Os 0.000 0.000 0.500
Al 0.500 0.500 0.500
Se 0.000 0.000 0.000
Se 0.500 0.500 0.000

Crystal system: monoclinic
M_tot, μB per formula unit: 0.00
Calculated density, kg/m3: 8741
Raw formation energy, kJ/mol of formula units: 102.2

=====

[4]
The following is a PBE calculation of a geometry-optimized AlOs2Se structure, from Alexandria.

Lattice parameters (Å, degrees): 8.339 8.339 8.339 20.07 20.07 20.07
Element x y z (fractional)
Os 0.000 0.000 0.000
Os 0.500 0.500 0.500
Al 0.750 0.750 0.750
Se 0.250 0.250 0.250

Crystal system: trigonal
M_tot, μB per formula unit: 0.00
Calculated density, kg/m3: 13517
Raw formation energy, kJ/mol of formula units: 96.3

=====

[5]
The following is a PBE calculation of a geometry-optimized AlOsSe structure, from Alexandria.

Lattice parameters (Å, degrees): 4.227 4.227 4.227 60.00 60.00 60.00
Element x y z (fractional)
Os 0.250 0.250 0.250
Al 0.500 0.500 0.500
Se 0.000 0.000 0.000

Crystal system: cubic
M_tot, μB per formula unit: 0.00
Calculated density, kg/m3: 9212
Raw formation energy, kJ/mol of formula units: 61.3

=====

[6]
The following is a PBE calculation of a geometry-optimized AlOs2Se structure, from Alexandria.

Lattice parameters (Å, degrees): 4.445 4.445 4.985 78.12 78.12 38.29
Element x y z (fractional)
Os 0.992 0.992 0.994
Os 0.508 0.508 0.506
Al 0.250 0.250 0.250
Se 0.750 0.750 0.750

Crystal system: monoclinic
M_tot, μB per formula unit: 0.00
Calculated density, kg/m3: 13560
Raw formation energy, kJ/mol of formula units: 92.3